1.
Here is crystalline Ba2AcHg3 at its relaxed geometry from the Alexandria database. Energies are from PBE-GGA.

Values from the calculation:
Space-group type: P4/mmm
Polymorph energy (0 for the lowest one) in eV/f.u.: 0.00
Formation enthalpy at 0 K in eV/atom: -0.515
Magnetization in μB per formula unit: 0.0

a = 4.1408 Å, b = 4.1408 Å, c = 12.5250 Å
α = 90.00°, β = 90.00°, γ = 90.00°
Atoms (fractional coordinates):
Ba1 0.0000 0.0000 0.1712
Ba2 0.0000 0.0000 0.8288
Ac1 0.0000 0.0000 0.5000
Hg1 0.5000 0.5000 0.0000
Hg2 0.5000 0.5000 0.3479
Hg3 0.5000 0.5000 0.6521

2.
Here is crystalline BaAcHg2 at its relaxed geometry from the Alexandria database. Energies are from PBE-GGA.

Values from the calculation:
Space-group type: P4/mmm
Formation enthalpy at 0 K in eV/atom: -0.509
Magnetization in μB per formula unit: 0.0

a = 4.1104 Å, b = 4.1104 Å, c = 8.3251 Å
α = 90.00°, β = 90.00°, γ = 90.00°
Atoms (fractional coordinates):
Ba1 0.0000 0.0000 0.0000
Ac1 0.0000 0.0000 0.5000
Hg1 0.5000 0.5000 0.2705
Hg2 0.5000 0.5000 0.7295

3.
Here is crystalline BaAc2Hg at its relaxed geometry from the Alexandria database. Energies are from PBE-GGA.

Values from the calculation:
Space-group type: R3m
Polymorph energy (0 for the lowest one) in eV/f.u.: 0.26
Formation enthalpy at 0 K in eV/atom: -0.116
Magnetization in μB per formula unit: 0.0

a = 12.1219 Å, b = 12.1219 Å, c = 12.1219 Å
α = 19.75°, β = 19.75°, γ = 19.75°
Atoms (fractional coordinates):
Ba1 0.0000 0.0000 0.0000
Ac1 0.5680 0.5680 0.5680
Ac2 0.7669 0.7669 0.7669
Hg1 0.1673 0.1673 0.1673